Record 1
First-principles (PBE-GGA) data for a relaxed structure of SrCd4Au, as listed in Alexandria via LeMat-Bulk. Values from VASP.

Quantum ESPRESSO input file:
```
&SYSTEM
  ibrav = 0, nat = 6, ntyp = 3
/
ATOMIC_SPECIES
Sr 87.62 Sr.upf
Cd 112.41 Cd.upf
Au 196.97 Au.upf
ATOMIC_POSITIONS crystal
Sr 0.7500 0.7500 0.7500
Cd 0.8771 0.3743 0.3743
Cd 0.3743 0.3743 0.3743
Cd 0.3743 0.8771 0.3743
Au 0.0000 0.0000 0.0000
Cd 0.3743 0.3743 0.8771
CELL_PARAMETERS angstrom
0.0000 4.1926 4.1926
4.1926 0.0000 4.1926
4.1926 4.1926 0.0000
```

Calculated values
E above lowest polymorph = 0.154 eV/atom
space-group type = F-43m
theoretical density = 8.27 g/cm3
magnetic moment = 0.000 μB per atom

=====

Record 2
First-principles (PBE-GGA) data for a relaxed structure of SrCd8Au4, as listed in Alexandria via LeMat-Bulk. Values from VASP.

Quantum ESPRESSO input file:
```
&SYSTEM
  ibrav = 0, nat = 13, ntyp = 3
/
ATOMIC_SPECIES
Au 196.97 Au.upf
Cd 112.41 Cd.upf
Sr 87.62 Sr.upf
ATOMIC_POSITIONS crystal
Au 0.0000 0.0000 0.5000
Cd 0.6493 0.3507 0.3507
Au 0.0000 0.5000 0.0000
Au 0.5000 0.5000 0.0000
Cd 0.0000 0.6493 0.3507
Sr 0.0000 0.0000 0.0000
Cd 0.3507 0.6493 0.6493
Cd 0.0000 0.3507 0.6493
Cd 0.5000 0.7833 0.2167
Au 0.5000 0.0000 0.5000
Cd 0.2833 0.2167 0.2167
Cd 0.5000 0.2167 0.7833
Cd 0.7167 0.7833 0.7833
CELL_PARAMETERS angstrom
-5.0427 2.4406 -0.8860
-5.6587 -3.8738 3.3812
-1.6716 5.1104 5.4359
```

Calculated values
space-group type = I4/mmm
calculated total energy = -0.1429 Ry per atom
theoretical density = 10.31 g/cm3
magnetic moment = 0.000 μB per atom